(1)
Here is Hf2HgN after structural relaxation from Alexandria via LeMat-Bulk. Energies are from GGA-PBE.

Properties
**E above lowest polymorph**: 0 meV per atom
**ΔE_f (raw)**: -0.987 eV/atom
**Total magnetic moment**: 0.00 μB per atom

abc: 3.2879 3.2879 21.5574
angles: 90.00 90.00 120.00
Space group R-3m (No. 166, hexagonal axes)
Unique sites:
Hf 0.0000 0.0000 0.2225 (multiplicity 6)
Hg 0.0000 0.0000 0.0000 (multiplicity 3)
N 0.0000 0.0000 0.5000 (multiplicity 3)

=====

(2)
Here is Hf3HgN after structural relaxation from Alexandria via LeMat-Bulk. Energies are from GGA-PBE.

Properties
**ΔE_f (raw)**: 0.135 eV/atom
**Total magnetic moment**: 0.14 μB per atom

abc: 4.254 4.254 7.472
angles: 90.00 90.00 90.00
Space group P4mm (No. 99)
Unique sites:
Hf 0.000 0.000 0.000 (multiplicity 1)
Hf 0.000 0.500 0.703 (multiplicity 2)
Hg 0.000 0.000 0.391 (multiplicity 1)
N 0.500 0.500 0.667 (multiplicity 1)

=====

(3)
Here is HfHg2N after structural relaxation from Alexandria via LeMat-Bulk. Energies are from GGA-PBE.

Properties
**ΔE_f (raw)**: 0.202 eV/atom
**Total magnetic moment**: 0.00 μB per atom

abc: 9.230 9.230 4.120
angles: 90.00 90.00 90.00
Space group I-42d (No. 122)
Unique sites:
Hf 0.000 0.000 0.000 (multiplicity 4)
Hg 0.140 0.250 0.625 (multiplicity 8)
N 0.000 0.000 0.500 (multiplicity 4)

=====

(4)
Here is Hf3HgN after structural relaxation from Alexandria via LeMat-Bulk. Energies are from GGA-PBE.

Properties
**ΔE_f (raw)**: 0.952 eV/atom
**Total magnetic moment**: 0.00 μB per atom

abc: 4.841 4.841 22.146
angles: 90.00 90.00 90.00
Space group I-4m2 (No. 119)
Unique sites:
Hf 0.000 0.000 0.187 (multiplicity 4)
Hf 0.000 0.243 0.627 (multiplicity 8)
Hg 0.000 0.000 0.500 (multiplicity 2)
Hg 0.000 0.500 0.750 (multiplicity 2)
N 0.000 0.500 0.153 (multiplicity 4)

=====

(5)
Here is Hf8HgN2 after structural relaxation from Alexandria via LeMat-Bulk. Energies are from GGA-PBE.

Properties
**ΔE_f (raw)**: -0.277 eV/atom
**Total magnetic moment**: 0.00 μB per atom

abc: 12.728 6.489 5.634
angles: 90.00 98.58 90.00
Space group C2/m (No. 12)
Unique sites:
Hf 0.099 0.235 0.200 (multiplicity 8)
Hf 0.152 0.000 0.720 (multiplicity 4)
Hf 0.196 0.500 0.788 (multiplicity 4)
Hg 0.000 0.500 0.500 (multiplicity 2)
N 0.184 0.500 0.151 (multiplicity 4)

=====

(6)
Here is Hf3HgN after structural relaxation from Alexandria via LeMat-Bulk. Energies are from GGA-PBE.

Properties
**ΔE_f (raw)**: -0.336 eV/atom
**Total magnetic moment**: 0.00 μB per atom

abc: 12.922 3.268 10.174
angles: 90.00 110.32 90.00
Space group C2/m (No. 12)
Unique sites:
Hf 0.085 0.000 0.137 (multiplicity 4)
Hf 0.164 0.000 0.876 (multiplicity 4)
Hf 0.206 0.500 0.610 (multiplicity 4)
Hg 0.034 0.000 0.383 (multiplicity 4)
N 0.237 0.000 0.114 (multiplicity 4)

=====

(7)
Here is Hf3HgN after structural relaxation from Alexandria via LeMat-Bulk. Energies are from GGA-PBE.

Properties
**ΔE_f (raw)**: -0.491 eV/atom
**Total magnetic moment**: 0.00 μB per atom

abc: 11.818 11.818 11.818
angles: 90.00 90.00 90.00
Space group Fd-3m (No. 227, origin choice 2)
Unique sites:
Hf 0.060 0.375 0.375 (multiplicity 48)
Hg 0.000 0.000 0.500 (multiplicity 16)
N 0.000 0.000 0.000 (multiplicity 16)

=====

(8)
Here is HfHg3N after structural relaxation from Alexandria via LeMat-Bulk. Energies are from GGA-PBE.

Properties
**E above lowest polymorph**: 425 meV per atom
**ΔE_f (raw)**: 1.521 eV/atom
**Total magnetic moment**: 0.24 μB per atom

abc: 5.684 5.684 5.684
angles: 90.00 90.00 90.00
Space group Pm-3m (No. 221)
Unique sites:
Hf 0.000 0.000 0.000 (multiplicity 1)
Hg 0.000 0.000 0.500 (multiplicity 3)
N 0.500 0.500 0.500 (multiplicity 1)

=====

Question: Number 4 is which compound?
Answer: Hf3HgN